1.
Computed, not measured: a relaxed structure of YHoCo2B2As2 at the GGA-PBE level of DFT. Values from VASP.

Structure (Quantum ESPRESSO input):
```
&SYSTEM
  ibrav = 0, nat = 8, ntyp = 5
/
ATOMIC_SPECIES
As 74.92 As.upf
B 10.81 B.upf
Ho 164.93 Ho.upf
Co 58.93 Co.upf
Y 88.91 Y.upf
CELL_PARAMETERS angstrom
-3.2579 -0.6762 -1.8623
1.9557 -1.6714 -2.8144
-0.7075 -7.4935 3.9587
ATOMIC_POSITIONS crystal
As 0.0000 0.0000 0.1400
As 0.5000 0.5000 0.8589
B 0.5000 0.5000 0.6010
B 0.0000 0.0000 0.3999
Ho 0.0000 0.0000 0.7691
Co 0.5000 0.0000 0.5007
Co 0.0000 0.5000 0.5007
Y 0.5000 0.5000 0.2298
```

Total energy = -6.632 eV/atom



2.
Computed, not measured: a relaxed structure of NaCoBAs at the GGA-PBE level of DFT. Values from VASP.

Structure (Quantum ESPRESSO input):
```
&SYSTEM
  ibrav = 0, nat = 4, ntyp = 4
/
ATOMIC_SPECIES
As 74.92 As.upf
B 10.81 B.upf
Co 58.93 Co.upf
Na 22.99 Na.upf
CELL_PARAMETERS angstrom
-2.8747 0.2543 3.0789
-2.2499 3.5351 0.4993
-4.1115 0.0361 -0.9498
ATOMIC_POSITIONS crystal
As 0.5000 0.5000 0.5000
B 0.2500 0.2500 0.2500
Co 0.0000 0.0000 0.0000
Na 0.7500 0.7500 0.7500
```

Total energy = -3.862 eV/atom



3.
Computed, not measured: a relaxed structure of NaCoBAs at the GGA-PBE level of DFT. Values from VASP.

Structure (Quantum ESPRESSO input):
```
&SYSTEM
  ibrav = 0, nat = 4, ntyp = 4
/
ATOMIC_SPECIES
Co 58.93 Co.upf
As 74.92 As.upf
Na 22.99 Na.upf
B 10.81 B.upf
CELL_PARAMETERS angstrom
-2.0283 3.2094 1.8872
0.5061 3.9599 -1.4278
-3.1882 1.9581 -1.9941
ATOMIC_POSITIONS crystal
Co 0.0000 0.0000 0.0000
As 0.2500 0.2500 0.2500
Na 0.7500 0.7500 0.7500
B 0.5000 0.5000 0.5000
```

Total energy = -3.958 eV/atom



4.
Computed, not measured: a relaxed structure of NaCoBAs at the GGA-PBE level of DFT. Values from VASP.

Structure (Quantum ESPRESSO input):
```
&SYSTEM
  ibrav = 0, nat = 4, ntyp = 4
/
ATOMIC_SPECIES
B 10.81 B.upf
Na 22.99 Na.upf
As 74.92 As.upf
Co 58.93 Co.upf
CELL_PARAMETERS angstrom
1.3453 -0.0710 3.9133
0.6314 3.5476 2.0359
-2.5366 1.0978 3.0805
ATOMIC_POSITIONS crystal
B 0.5000 0.5000 0.5000
Na 0.7500 0.7500 0.7500
As 0.0000 0.0000 0.0000
Co 0.2500 0.2500 0.2500
```

Total energy = -4.220 eV/atom



5.
Computed, not measured: a relaxed structure of Pr2NdCo2B2As3 at the GGA-PBE level of DFT. Values from VASP.

Structure (Quantum ESPRESSO input):
```
&SYSTEM
  ibrav = 0, nat = 10, ntyp = 5
/
ATOMIC_SPECIES
B 10.81 B.upf
As 74.92 As.upf
Pr 140.91 Pr.upf
Co 58.93 Co.upf
Nd 144.24 Nd.upf
CELL_PARAMETERS angstrom
-2.0424 2.0424 11.4274
2.0424 -2.0424 11.4274
2.0424 2.0424 -11.4274
ATOMIC_POSITIONS crystal
B 0.2199 0.2199 0.0000
B 0.7801 0.7801 0.0000
As 0.5000 0.5000 0.0000
As 0.8724 0.8724 0.0000
As 0.1276 0.1276 0.0000
Pr 0.3568 0.3568 0.0000
Pr 0.6432 0.6432 0.0000
Co 0.2500 0.7500 0.5000
Co 0.7500 0.2500 0.5000
Nd 0.0000 0.0000 0.0000
```

Total energy = -6.274 eV/atom